Record 1
Here is Sm3TaO7 at its PBEsol-relaxed geometry from the Alexandria database. Energies are from meta-GGA SCAN.

Unit cell a=7.614 b=10.656 c=7.538 alpha=90.00 beta=90.00 gamma=90.00
Space group C222_1 (No. 20)
Asymmetric unit:
Sm  0.032  0.000  0.000 [4 per cell]
Sm  0.232  0.269  0.760 [8 per cell]
Ta  0.001  0.500  0.000 [4 per cell]
O  0.000  0.129  0.250 [4 per cell]
O  0.000  0.137  0.750 [4 per cell]
O  0.000  0.436  0.750 [4 per cell]
O  0.177  0.373  0.043 [8 per cell]
O  0.203  0.378  0.477 [8 per cell]

The calculation puts the energy relative to the elements, uncorrected at -3.66 eV per atom. Its energy relative to the lowest polymorph listed for this composition is 0.0 meV per atom. The value obtained for the total DFT energy (no corrections) is -1135.3 eV/cell. The value obtained for the total magnetization is 0.00 μB/f.u.

Record 2
Here is Sm3TaO7 at its PBEsol-relaxed geometry from the Alexandria database. Energies are from meta-GGA SCAN.

Unit cell a=7.487 b=10.724 c=7.553 alpha=90.00 beta=90.00 gamma=90.00
Space group Pnma (No. 62)
Asymmetric unit:
Sm  0.013  0.250  0.208 [4 per cell]
Sm  0.249  0.024  0.542 [8 per cell]
Ta  0.002  0.250  0.750 [4 per cell]
O  0.037  0.126  0.951 [8 per cell]
O  0.044  0.612  0.409 [8 per cell]
O  0.243  0.617  0.771 [8 per cell]
O  0.247  0.250  0.667 [4 per cell]

The calculation puts the energy relative to the elements, uncorrected at -3.66 eV per atom. Its energy relative to the lowest polymorph listed for this composition is 2.5 meV per atom. The value obtained for the total DFT energy (no corrections) is -1135.2 eV/cell. The value obtained for the total magnetization is 0.00 μB/f.u.

Record 3
Here is Sm6Ta2Ti4O21 at its PBEsol-relaxed geometry from the Alexandria database. Energies are from meta-GGA SCAN.

Unit cell a=10.297 b=10.286 c=16.185 alpha=90.00 beta=107.78 gamma=90.00
Space group C2/c (No. 15)
Asymmetric unit:
Sm  0.000  0.000  0.000 [4 per cell]
Sm  0.077  0.252  0.163 [8 per cell]
Sm  0.166  0.499  0.337 [8 per cell]
Sm  0.250  0.250  0.000 [4 per cell]
Ta  0.170  0.006  0.834 [8 per cell]
Ti  0.000  0.500  0.000 [4 per cell]
Ti  0.081  0.261  0.661 [8 per cell]
Ti  0.250  0.250  0.500 [4 per cell]
O  0.000  0.074  0.250 [4 per cell]
O  0.000  0.327  0.750 [4 per cell]
O  0.000  0.376  0.250 [4 per cell]
O  0.048  0.375  0.918 [8 per cell]
O  0.069  0.126  0.887 [8 per cell]
O  0.096  0.373  0.444 [8 per cell]
O  0.127  0.124  0.415 [8 per cell]
O  0.165  0.125  0.083 [8 per cell]
O  0.165  0.166  0.583 [8 per cell]
O  0.166  0.417  0.084 [8 per cell]
O  0.200  0.128  0.750 [8 per cell]
O  0.236  0.377  0.719 [8 per cell]

The calculation puts the energy relative to the elements, uncorrected at -3.54 eV per atom. The value obtained for the total DFT energy (no corrections) is -2846.7 eV/cell. The value obtained for the total magnetization is 2.00 μB/f.u.

Record 4
Here is Sm2Tc2O7 at its PBEsol-relaxed geometry from the Alexandria database. Energies are from meta-GGA SCAN.

Unit cell a=10.299 b=10.299 c=10.299 alpha=90.00 beta=90.00 gamma=90.00
Space group Fd-3m (No. 227, origin choice 2)
Asymmetric unit:
Sm  0.000  0.000  0.000 [16 per cell]
Tc  0.000  0.000  0.500 [16 per cell]
O  0.084  0.375  0.875 [48 per cell]
O  0.125  0.125  0.125 [8 per cell]

The calculation puts the energy relative to the elements, uncorrected at -2.73 eV per atom. The value obtained for the total DFT energy (no corrections) is -1860.9 eV/cell. The value obtained for the total magnetization is 6.00 μB/f.u.